Entry 1:
The following is a GGA-PBE calculation of crystalline LiTa2Ni at its relaxed geometry, from Alexandria.

Summary:
- Formation energy from the elements: 0.278 eV/atom
- Energy: -7.57 eV/atom
- Offset from the most stable computed form: 0.178 eV/atom
- Size of the total moment: 0.0000 μB/atom

a b c (Å): 4.966 4.966 4.966
angles (deg): 135.37 135.37 64.95
Sites, in units of the cell vectors:
Ni1 0.750 0.250 0.500
Ta1 0.250 0.750 0.500
Ta2 0.000 0.000 0.000
Li1 0.500 0.500 0.000

=====

Entry 2:
The following is a GGA-PBE calculation of crystalline Li2TaNi at its relaxed geometry, from Alexandria.

Summary:
- Formation energy from the elements: 0.350 eV/atom
- Energy: -5.02 eV/atom
- Offset from the most stable computed form: 0.240 eV/atom
- Size of the total moment: 0.0000 μB/atom

a b c (Å): 5.280 5.280 2.597
angles (deg): 90.00 90.00 124.65
Sites, in units of the cell vectors:
Ta1 0.000 0.500 0.500
Ni1 0.500 0.000 0.500
Li1 0.500 0.500 0.000
Li2 0.000 0.000 0.000

=====

Entry 3:
The following is a GGA-PBE calculation of crystalline LiTa2Ni at its relaxed geometry, from Alexandria.

Summary:
- Formation energy from the elements: 0.203 eV/atom
- Energy: -7.65 eV/atom
- Offset from the most stable computed form: 0.103 eV/atom
- Size of the total moment: 0.0000 μB/atom

a b c (Å): 3.741 4.107 3.862
angles (deg): 90.00 90.00 90.00
Sites, in units of the cell vectors:
Ta1 0.500 0.500 0.000
Ta2 0.000 0.000 0.000
Li1 0.500 0.000 0.500
Ni1 0.000 0.500 0.500

=====

Entry 4:
The following is a GGA-PBE calculation of crystalline Li2TaNi at its relaxed geometry, from Alexandria.

Summary:
- Formation energy from the elements: 0.255 eV/atom
- Energy: -5.11 eV/atom
- Offset from the most stable computed form: 0.146 eV/atom
- Size of the total moment: 0.0001 μB/atom

a b c (Å): 4.701 3.512 3.512
angles (deg): 90.00 90.00 90.00
Sites, in units of the cell vectors:
Ni1 0.500 0.500 0.000
Li1 0.000 0.000 0.000
Li2 0.000 0.500 0.500
Ta1 0.500 0.000 0.500

=====

Entry 5:
The following is a GGA-PBE calculation of crystalline LiTa2Ni at its relaxed geometry, from Alexandria.

Summary:
- Formation energy from the elements: 0.289 eV/atom
- Energy: -7.56 eV/atom
- Offset from the most stable computed form: 0.189 eV/atom
- Size of the total moment: 0.0001 μB/atom

a b c (Å): 4.372 4.372 4.372
angles (deg): 60.00 60.00 60.00
Sites, in units of the cell vectors:
Li1 0.000 0.000 0.000
Ta1 0.750 0.750 0.750
Ta2 0.250 0.250 0.250
Ni1 0.500 0.500 0.500

=====

Entry 6:
The following is a GGA-PBE calculation of crystalline LiTaNi5 at its relaxed geometry, from Alexandria.

Summary:
- Formation energy from the elements: -0.085 eV/atom
- Energy: -6.18 eV/atom
- Size of the total moment: 0.0000 μB/atom

a b c (Å): 4.638 4.638 8.611
angles (deg): 105.32 105.32 95.87
Sites, in units of the cell vectors:
Ta1 0.000 0.000 0.000
Ta2 0.000 0.000 0.500
Li1 0.500 0.500 0.750
Li2 0.500 0.500 0.250
Ni1 0.844 0.156 0.750
Ni2 0.536 0.238 0.462
Ni3 0.156 0.844 0.250
Ni4 0.238 0.536 0.962
Ni5 0.019 0.394 0.342
Ni6 0.394 0.019 0.842
Ni7 0.606 0.981 0.158
Ni8 0.464 0.762 0.538
Ni9 0.981 0.606 0.658
Ni10 0.762 0.464 0.038

=====

Question: Number 4 is which compound?
Answer: Li2TaNi

=====

Question: Number 1 is which compound?
Answer: LiTa2Ni

=====

Question: Among the records above, which one has the lowest formation energy from the elements?
Answer: LiTaNi5

=====

Question: Which value of energy does entry 5 give?
Answer: -7.56 eV/atom